# 1
! RhAuCl (meta-GGA SCAN, PBEsol geometry); values from VASP
&SYSTEM
  ibrav = 0, nat = 3, ntyp = 3
/
ATOMIC_SPECIES
Rh 102.91 Rh.upf
Au 196.97 Au.upf
Cl 35.45 Cl.upf
CELL_PARAMETERS angstrom
3.185 0.000 0.000
-1.593 2.758 0.000
0.000 0.000 5.842
ATOMIC_POSITIONS angstrom
Rh 0.000 0.000 0.000
Au 0.000 1.839 3.920
Cl 1.593 0.919 1.465
! * uncorrected formation energy: 0.130 eV/atom
! * space group: P3m1
! * crystal system: trigonal



# 2
! RhAu2Cl (meta-GGA SCAN, PBEsol geometry); values from VASP
&SYSTEM
  ibrav = 0, nat = 4, ntyp = 3
/
ATOMIC_SPECIES
Rh 102.91 Rh.upf
Au 196.97 Au.upf
Cl 35.45 Cl.upf
CELL_PARAMETERS angstrom
3.744 0.000 0.000
0.000 3.744 0.000
0.000 0.000 4.798
ATOMIC_POSITIONS angstrom
Rh 0.000 0.000 0.000
Au 0.000 1.872 2.399
Au 1.872 0.000 2.399
Cl 1.872 1.872 0.000
! * offset from the most stable computed form: 0.0 meV/atom
! * uncorrected formation energy: 0.459 eV/atom
! * space group: P4/mmm
! * crystal system: tetragonal



# 3
! RhAu2Cl (meta-GGA SCAN, PBEsol geometry); values from VASP
&SYSTEM
  ibrav = 0, nat = 4, ntyp = 3
/
ATOMIC_SPECIES
Rh 102.91 Rh.upf
Au 196.97 Au.upf
Cl 35.45 Cl.upf
CELL_PARAMETERS angstrom
0.000 3.210 3.210
3.210 0.000 3.210
3.210 3.210 0.000
ATOMIC_POSITIONS angstrom
Rh 0.000 0.000 0.000
Au 1.605 1.605 1.605
Au 3.210 3.210 3.210
Cl 4.815 4.815 4.815
! * offset from the most stable computed form: 54.0 meV/atom
! * uncorrected formation energy: 0.513 eV/atom
! * space group: F-43m
! * crystal system: cubic



# 4
! RhAuCl2 (meta-GGA SCAN, PBEsol geometry); values from VASP
&SYSTEM
  ibrav = 0, nat = 4, ntyp = 3
/
ATOMIC_SPECIES
Rh 102.91 Rh.upf
Au 196.97 Au.upf
Cl 35.45 Cl.upf
CELL_PARAMETERS angstrom
-1.774 1.774 5.526
1.774 -1.774 5.526
1.774 1.774 -5.526
ATOMIC_POSITIONS angstrom
Rh 0.000 0.000 0.000
Au 0.000 1.774 2.763
Cl 1.774 0.000 2.763
Cl 0.000 0.000 5.526
! * uncorrected formation energy: 0.322 eV/atom
! * space group: I-4m2
! * crystal system: tetragonal



# 5
! Rh2AuCl2 (meta-GGA SCAN, PBEsol geometry); values from VASP
&SYSTEM
  ibrav = 0, nat = 5, ntyp = 3
/
ATOMIC_SPECIES
Rh 102.91 Rh.upf
Au 196.97 Au.upf
Cl 35.45 Cl.upf
CELL_PARAMETERS angstrom
-2.259 2.259 4.169
2.259 -2.259 4.169
2.259 2.259 -4.169
ATOMIC_POSITIONS angstrom
Rh 2.259 0.000 2.084
Rh 0.000 2.259 2.084
Au 0.000 0.000 0.000
Cl 0.000 0.000 2.779
Cl 0.000 0.000 5.559
! * uncorrected formation energy: 0.574 eV/atom
! * space group: I4/mmm
! * crystal system: tetragonal



# 6
! RuAuCl (meta-GGA SCAN, PBEsol geometry); values from VASP
&SYSTEM
  ibrav = 0, nat = 3, ntyp = 3
/
ATOMIC_SPECIES
Ru 101.07 Ru.upf
Au 196.97 Au.upf
Cl 35.45 Cl.upf
CELL_PARAMETERS angstrom
0.000 3.040 3.040
3.040 0.000 3.040
3.040 3.040 0.000
ATOMIC_POSITIONS angstrom
Ru 0.000 0.000 0.000
Au 4.561 4.561 4.561
Cl 1.520 1.520 1.520
! * uncorrected formation energy: 0.687 eV/atom
! * space group: F-43m
! * crystal system: cubic



# 7
! Ru2AuCl (meta-GGA SCAN, PBEsol geometry); values from VASP
&SYSTEM
  ibrav = 0, nat = 4, ntyp = 3
/
ATOMIC_SPECIES
Ru 101.07 Ru.upf
Au 196.97 Au.upf
Cl 35.45 Cl.upf
CELL_PARAMETERS angstrom
1.418 0.819 8.255
-1.418 0.819 8.255
0.000 -1.638 8.255
ATOMIC_POSITIONS angstrom
Ru 0.000 0.000 6.025
Ru 0.000 0.000 18.741
Au 0.000 0.000 0.000
Cl 0.000 0.000 12.383
! * offset from the most stable computed form: 126.9 meV/atom
! * uncorrected formation energy: 0.618 eV/atom
! * space group: R-3m
! * crystal system: trigonal



# 8
! Ru2AuCl (meta-GGA SCAN, PBEsol geometry); values from VASP
&SYSTEM
  ibrav = 0, nat = 4, ntyp = 3
/
ATOMIC_SPECIES
Ru 101.07 Ru.upf
Au 196.97 Au.upf
Cl 35.45 Cl.upf
CELL_PARAMETERS angstrom
2.947 -3.526 0.000
2.947 3.526 0.000
0.000 0.000 2.835
ATOMIC_POSITIONS angstrom
Ru 1.473 1.763 0.000
Ru 1.473 -1.763 0.000
Au 0.000 0.000 1.417
Cl 2.947 0.000 1.417
! * offset from the most stable computed form: 470.5 meV/atom
! * uncorrected formation energy: 0.961 eV/atom
! * space group: Cmmm
! * crystal system: orthorhombic



# 9
! Ru2AuCl (meta-GGA SCAN, PBEsol geometry); values from VASP
&SYSTEM
  ibrav = 0, nat = 4, ntyp = 3
/
ATOMIC_SPECIES
Ru 101.07 Ru.upf
Au 196.97 Au.upf
Cl 35.45 Cl.upf
CELL_PARAMETERS angstrom
2.740 0.000 0.000
0.000 4.541 0.000
0.000 0.000 4.907
ATOMIC_POSITIONS angstrom
Ru 0.000 0.000 0.000
Ru 1.370 0.000 2.454
Au 0.000 2.271 2.454
Cl 1.370 2.271 0.000
! * offset from the most stable computed form: 451.0 meV/atom
! * uncorrected formation energy: 0.942 eV/atom
! * space group: Pmmm
! * crystal system: orthorhombic



# 10
! Ru2AuCl (meta-GGA SCAN, PBEsol geometry); values from VASP
&SYSTEM
  ibrav = 0, nat = 4, ntyp = 3
/
ATOMIC_SPECIES
Ru 101.07 Ru.upf
Au 196.97 Au.upf
Cl 35.45 Cl.upf
CELL_PARAMETERS angstrom
1.383 -2.429 0.000
1.383 2.429 0.000
0.000 0.000 9.325
ATOMIC_POSITIONS angstrom
Ru 0.000 0.000 0.000
Ru 1.383 0.000 2.106
Au 0.000 0.000 4.545
Cl 1.383 0.000 7.335
! * offset from the most stable computed form: 0.0 meV/atom
! * uncorrected formation energy: 0.491 eV/atom
! * space group: Cmm2
! * crystal system: orthorhombic



# 11
! AuSCl5 (meta-GGA SCAN, PBEsol geometry); values from VASP
&SYSTEM
  ibrav = 0, nat = 28, ntyp = 3
/
ATOMIC_SPECIES
Au 196.97 Au.upf
S 32.06 S.upf
Cl 35.45 Cl.upf
CELL_PARAMETERS angstrom
7.921 0.000 0.000
0.000 8.074 0.000
-5.591 0.000 11.643
ATOMIC_POSITIONS angstrom
Au -0.188 1.394 1.807
Au -2.984 2.643 7.629
Au 5.314 5.432 4.014
Au 2.518 6.680 9.836
S 1.657 1.808 0.439
S -1.139 2.229 6.260
S 3.469 5.845 5.383
S 0.673 6.266 11.204
Cl -0.686 5.007 2.832
Cl -3.482 7.105 8.653
Cl -1.477 5.269 6.019
Cl 1.319 6.842 0.197
Cl -1.120 0.215 6.333
Cl 1.675 3.822 0.511
Cl 0.967 1.651 3.741
Cl -1.829 2.386 9.563
Cl 1.789 5.391 4.380
Cl -1.007 6.720 10.201
Cl 3.336 1.354 1.442
Cl 0.541 2.683 7.263
Cl 4.158 5.688 2.080
Cl 1.363 6.423 7.902
Cl 0.654 4.252 11.132
Cl 3.450 7.859 5.310
Cl 1.011 1.232 11.446
Cl 3.806 2.805 5.624
Cl 5.811 0.970 2.990
Cl 3.015 3.068 8.812
! * uncorrected formation energy: -0.317 eV/atom
! * space group: P2_1/c
! * crystal system: monoclinic



# 12
! AuSCl7 (meta-GGA SCAN, PBEsol geometry); values from VASP
&SYSTEM
  ibrav = 0, nat = 36, ntyp = 3
/
ATOMIC_SPECIES
Au 196.97 Au.upf
S 32.06 S.upf
Cl 35.45 Cl.upf
CELL_PARAMETERS angstrom
8.782 0.000 0.000
0.000 9.888 0.000
-3.037 0.000 11.498
ATOMIC_POSITIONS angstrom
Au 1.754 0.999 0.360
Au 0.236 3.945 6.109
Au 5.509 5.943 5.389
Au 3.991 8.889 11.138
S -0.994 7.037 11.198
S 0.524 7.796 5.449
S 5.221 2.092 6.049
S 6.739 2.852 0.300
Cl -0.828 2.253 5.003
Cl -2.346 2.691 10.752
Cl -1.795 6.068 9.610
Cl -0.277 8.765 3.861
Cl -0.067 5.280 4.264
Cl -1.585 9.552 10.013
Cl 2.257 5.535 1.047
Cl 0.738 9.297 6.796
Cl 2.143 2.368 2.138
Cl 0.625 2.577 7.887
Cl 1.275 5.645 7.237
Cl 2.793 9.188 1.488
Cl 0.923 7.181 10.505
Cl 2.442 7.652 4.756
Cl 3.304 2.237 6.742
Cl 4.822 2.708 0.993
Cl 2.952 0.700 10.010
Cl 4.470 4.244 4.261
Cl 5.120 7.312 3.611
Cl 3.602 7.521 9.359
Cl 5.007 0.591 4.701
Cl 3.488 4.353 10.450
Cl 7.331 0.336 1.485
Cl 5.812 4.608 7.234
Cl 6.022 1.124 7.637
Cl 7.540 3.820 1.888
Cl 8.092 7.197 0.746
Cl 6.573 7.635 6.495
! * uncorrected formation energy: -0.301 eV/atom
! * space group: P2_1/c
! * crystal system: monoclinic



# 13
! AuSeS2Cl (meta-GGA SCAN, PBEsol geometry); values from VASP
&SYSTEM
  ibrav = 0, nat = 5, ntyp = 4
/
ATOMIC_SPECIES
Au 196.97 Au.upf
Se 78.96 Se.upf
S 32.06 S.upf
Cl 35.45 Cl.upf
CELL_PARAMETERS angstrom
4.788 0.000 0.000
0.000 4.788 0.000
0.000 0.000 4.667
ATOMIC_POSITIONS angstrom
Au 0.000 0.000 0.000
Se 2.394 2.394 2.333
S 0.000 2.394 0.000
S 2.394 0.000 0.000
Cl 0.000 0.000 2.333
! * uncorrected formation energy: 0.745 eV/atom
! * space group: P4/mmm
! * crystal system: tetragonal



# 14
! SiAuSCl2 (meta-GGA SCAN, PBEsol geometry); values from VASP
&SYSTEM
  ibrav = 0, nat = 5, ntyp = 4
/
ATOMIC_SPECIES
Si 28.09 Si.upf
Au 196.97 Au.upf
S 32.06 S.upf
Cl 35.45 Cl.upf
CELL_PARAMETERS angstrom
4.525 0.000 0.000
0.000 4.525 0.000
0.000 0.000 4.669
ATOMIC_POSITIONS angstrom
Si 0.000 0.000 0.000
Au 2.262 2.262 2.335
S 0.000 0.000 2.335
Cl 0.000 2.262 0.000
Cl 2.262 0.000 0.000
! * uncorrected formation energy: 0.116 eV/atom
! * space group: P4/mmm
! * crystal system: tetragonal



# 15
! Sb2AuCl (meta-GGA SCAN, PBEsol geometry); values from VASP
&SYSTEM
  ibrav = 0, nat = 4, ntyp = 3
/
ATOMIC_SPECIES
Sb 121.76 Sb.upf
Au 196.97 Au.upf
Cl 35.45 Cl.upf
CELL_PARAMETERS angstrom
3.574 -2.168 0.000
3.574 2.168 0.000
-1.571 0.000 6.798
ATOMIC_POSITIONS angstrom
Sb 1.034 0.000 1.257
Sb 4.543 0.000 5.541
Au 3.574 0.000 0.000
Cl -0.786 0.000 3.399
! * uncorrected formation energy: -0.328 eV/atom
! * space group: C2/m
! * crystal system: monoclinic



# 16
! SbAu3Cl (meta-GGA SCAN, PBEsol geometry); values from VASP
&SYSTEM
  ibrav = 0, nat = 5, ntyp = 3
/
ATOMIC_SPECIES
Sb 121.76 Sb.upf
Au 196.97 Au.upf
Cl 35.45 Cl.upf
CELL_PARAMETERS angstrom
5.114 0.000 0.000
0.000 5.114 0.000
0.000 0.000 5.114
ATOMIC_POSITIONS angstrom
Sb 0.000 0.000 0.000
Au 0.000 0.000 2.557
Au 0.000 2.557 0.000
Au 2.557 0.000 0.000
Cl 2.557 2.557 2.557
! * uncorrected formation energy: 0.420 eV/atom
! * space group: Pm-3m
! * crystal system: cubic



# 17
! SbAu2Cl (meta-GGA SCAN, PBEsol geometry); values from VASP
&SYSTEM
  ibrav = 0, nat = 4, ntyp = 3
/
ATOMIC_SPECIES
Sb 121.76 Sb.upf
Au 196.97 Au.upf
Cl 35.45 Cl.upf
CELL_PARAMETERS angstrom
3.022 0.000 0.000
0.000 4.742 0.000
0.000 0.000 5.568
ATOMIC_POSITIONS angstrom
Sb 0.000 0.000 0.000
Au 0.000 2.371 2.784
Au 1.511 0.000 2.784
Cl 1.511 2.371 0.000
! * offset from the most stable computed form: 0.0 meV/atom
! * uncorrected formation energy: 0.133 eV/atom
! * space group: Pmmm
! * crystal system: orthorhombic



# 18
! SbAu2Cl (meta-GGA SCAN, PBEsol geometry); values from VASP
&SYSTEM
  ibrav = 0, nat = 4, ntyp = 3
/
ATOMIC_SPECIES
Sb 121.76 Sb.upf
Au 196.97 Au.upf
Cl 35.45 Cl.upf
CELL_PARAMETERS angstrom
0.000 3.418 3.418
3.418 0.000 3.418
3.418 3.418 0.000
ATOMIC_POSITIONS angstrom
Sb 0.000 0.000 0.000
Au 1.709 1.709 1.709
Au 5.127 5.127 5.127
Cl 3.418 3.418 3.418
! * offset from the most stable computed form: 147.5 meV/atom
! * uncorrected formation energy: 0.280 eV/atom
! * space group: Fm-3m
! * crystal system: cubic



# 19
! ScAuCl2 (meta-GGA SCAN, PBEsol geometry); values from VASP
&SYSTEM
  ibrav = 0, nat = 4, ntyp = 3
/
ATOMIC_SPECIES
Sc 44.96 Sc.upf
Au 196.97 Au.upf
Cl 35.45 Cl.upf
CELL_PARAMETERS angstrom
4.306 0.000 0.000
0.000 4.306 0.000
0.000 0.000 3.962
ATOMIC_POSITIONS angstrom
Sc 0.000 0.000 0.000
Au 2.153 2.153 0.000
Cl 0.000 2.153 1.981
Cl 2.153 0.000 1.981
! * offset from the most stable computed form: 647.3 meV/atom
! * uncorrected formation energy: -0.726 eV/atom
! * space group: P4/mmm
! * crystal system: tetragonal



# 20
! ScAuCl2 (meta-GGA SCAN, PBEsol geometry); values from VASP
&SYSTEM
  ibrav = 0, nat = 4, ntyp = 3
/
ATOMIC_SPECIES
Sc 44.96 Sc.upf
Au 196.97 Au.upf
Cl 35.45 Cl.upf
CELL_PARAMETERS angstrom
2.690 -5.757 0.000
2.690 5.757 0.000
0.000 0.000 3.485
ATOMIC_POSITIONS angstrom
Sc 0.000 0.000 0.000
Au 2.690 0.000 0.000
Cl 2.690 4.031 1.742
Cl 2.690 -4.031 1.742
! * offset from the most stable computed form: 0.0 meV/atom
! * uncorrected formation energy: -1.374 eV/atom
! * space group: Cmmm
! * crystal system: orthorhombic